# 1
# NaSr3N

An optimized crystal structure of NaSr3N (GGA-PBE, Alexandria via LeMat-Bulk).

Calculated values
As for the uncorrected formation energy: 1.41 eV/atom. The density is 2.11 g/cm³. The value obtained for the raw total energy is -7.663 eV per cell. The density of states at the Fermi level is 8.24 states/eV/f.u.

abc: 6.178 6.178 6.178
angles: 90.00 90.00 90.00
Fractional coordinates of all 5 atoms:
Na: 0.000 0.000 0.000
Sr: 0.000 0.000 0.500
Sr: 0.000 0.500 0.000
Sr: 0.500 0.000 0.000
N: 0.500 0.500 0.500

---

# 2
# Na3Sr12N5

An optimized crystal structure of Na3Sr12N5 (GGA-PBE, Alexandria via LeMat-Bulk).

Calculated values
As for the uncorrected formation energy: -0.19 eV/atom. The density is 2.89 g/cm³. The value obtained for the raw total energy is -278.540 eV per cell. The density of states at the Fermi level is 12.72 states/eV/f.u.

abc: 15.252 15.252 15.252
angles: 109.47 109.47 109.47
Fractional coordinates of all 80 atoms:
Na: 0.125 0.250 0.375
Na: 0.125 0.375 0.750
Na: 0.250 0.375 0.125
Na: 0.250 0.875 0.625
Na: 0.375 0.125 0.250
Na: 0.375 0.750 0.125
Na: 0.625 0.250 0.875
Na: 0.625 0.875 0.750
Na: 0.750 0.125 0.375
Na: 0.750 0.625 0.875
Na: 0.875 0.625 0.250
Na: 0.875 0.750 0.625
Sr: 0.001 0.688 0.107
Sr: 0.001 0.813 0.894
Sr: 0.081 0.687 0.688
Sr: 0.081 0.894 0.393
Sr: 0.106 0.607 0.919
Sr: 0.106 0.999 0.187
Sr: 0.107 0.001 0.688
Sr: 0.107 0.606 0.419
Sr: 0.187 0.106 0.999
Sr: 0.187 0.581 0.188
Sr: 0.188 0.187 0.581
Sr: 0.188 0.501 0.607
Sr: 0.312 0.893 0.999
Sr: 0.312 0.919 0.313
Sr: 0.313 0.312 0.919
Sr: 0.313 0.501 0.394
Sr: 0.393 0.081 0.894
Sr: 0.393 0.812 0.499
Sr: 0.394 0.313 0.501
Sr: 0.394 0.581 0.893
Sr: 0.419 0.107 0.606
Sr: 0.419 0.812 0.813
Sr: 0.499 0.393 0.812
Sr: 0.499 0.606 0.687
Sr: 0.501 0.394 0.313
Sr: 0.501 0.607 0.188
Sr: 0.581 0.188 0.187
Sr: 0.581 0.893 0.394
Sr: 0.606 0.419 0.107
Sr: 0.606 0.687 0.499
Sr: 0.607 0.188 0.501
Sr: 0.607 0.919 0.106
Sr: 0.687 0.499 0.606
Sr: 0.687 0.688 0.081
Sr: 0.688 0.081 0.687
Sr: 0.688 0.107 0.001
Sr: 0.812 0.499 0.393
Sr: 0.812 0.813 0.419
Sr: 0.813 0.419 0.812
Sr: 0.813 0.894 0.001
Sr: 0.893 0.394 0.581
Sr: 0.893 0.999 0.312
Sr: 0.894 0.001 0.813
Sr: 0.894 0.393 0.081
Sr: 0.919 0.106 0.607
Sr: 0.919 0.313 0.312
Sr: 0.999 0.187 0.106
Sr: 0.999 0.312 0.893
N: 0.000 0.000 0.000
N: 0.000 0.000 0.500
N: 0.000 0.500 0.000
N: 0.000 0.500 0.500
N: 0.125 0.750 0.875
N: 0.125 0.875 0.250
N: 0.250 0.125 0.875
N: 0.250 0.625 0.375
N: 0.375 0.250 0.625
N: 0.375 0.625 0.750
N: 0.500 0.000 0.000
N: 0.500 0.000 0.500
N: 0.500 0.500 0.000
N: 0.500 0.500 0.500
N: 0.625 0.375 0.250
N: 0.625 0.750 0.375
N: 0.750 0.375 0.625
N: 0.750 0.875 0.125
N: 0.875 0.125 0.750
N: 0.875 0.250 0.125

---

# 3
# NaSrN2

An optimized crystal structure of NaSrN2 (GGA-PBE, Alexandria via LeMat-Bulk).

Calculated values
As for the uncorrected formation energy: 0.81 eV/atom. The density is 3.47 g/cm³. The value obtained for the raw total energy is -32.813 eV per cell. The density of states at the Fermi level is 1.61 states/eV/f.u. The energy above the most stable polymorph in this dataset is 239 meV per atom.

abc: 7.973 7.973 7.973
angles: 149.16 149.16 44.17
Fractional coordinates of all 8 atoms:
Na: 0.000 0.000 0.000
Na: 0.750 0.250 0.500
Sr: 0.250 0.750 0.500
Sr: 0.500 0.500 0.000
N: 0.375 0.239 0.364
N: 0.761 0.125 0.136
N: 0.875 0.011 0.636
N: 0.989 0.625 0.864

---

# 4
# Na2Sr5N2

An optimized crystal structure of Na2Sr5N2 (GGA-PBE, Alexandria via LeMat-Bulk).

Calculated values
As for the uncorrected formation energy: -0.29 eV/atom. The density is 2.68 g/cm³. The value obtained for the raw total energy is -30.290 eV per cell. The density of states at the Fermi level is 4.15 states/eV/f.u.

abc: 7.346 7.346 9.125
angles: 93.60 93.60 40.29
Fractional coordinates of all 9 atoms:
Na: 0.089 0.089 0.184
Na: 0.911 0.911 0.816
Sr: 0.227 0.227 0.614
Sr: 0.363 0.363 0.132
Sr: 0.500 0.500 0.500
Sr: 0.637 0.637 0.868
Sr: 0.773 0.773 0.386
N: 0.327 0.327 0.387
N: 0.673 0.673 0.613

---

# 5
# NaSr3N

An optimized crystal structure of NaSr3N (GGA-PBE, Alexandria via LeMat-Bulk).

Calculated values
As for the uncorrected formation energy: -0.29 eV/atom. The density is 2.64 g/cm³. The value obtained for the raw total energy is -32.232 eV per cell. The density of states at the Fermi level is 2.91 states/eV/f.u.

abc: 7.437 7.813 8.253
angles: 78.98 63.28 61.67
Fractional coordinates of all 10 atoms:
Na: 0.065 0.233 0.136
Na: 0.935 0.767 0.864
Sr: 0.033 0.302 0.630
Sr: 0.459 0.760 0.823
Sr: 0.465 0.698 0.369
Sr: 0.535 0.302 0.631
Sr: 0.541 0.240 0.177
Sr: 0.967 0.698 0.370
N: 0.302 0.455 0.441
N: 0.698 0.545 0.559

---

# 6
# Na2Sr5N

An optimized crystal structure of Na2Sr5N (GGA-PBE, Alexandria via LeMat-Bulk).

Calculated values
As for the uncorrected formation energy: -0.04 eV/atom. The density is 2.21 g/cm³. The value obtained for the raw total energy is -39.317 eV per cell. The density of states at the Fermi level is 6.91 states/eV/f.u. The energy above the most stable polymorph in this dataset is 53 meV per atom.

abc: 10.775 10.775 13.773
angles: 90.00 90.00 152.13
Fractional coordinates of all 16 atoms:
Na: 0.052 0.948 0.633
Na: 0.052 0.948 0.867
Na: 0.948 0.052 0.133
Na: 0.948 0.052 0.367
Sr: 0.131 0.869 0.119
Sr: 0.131 0.869 0.381
Sr: 0.270 0.730 0.750
Sr: 0.307 0.693 0.104
Sr: 0.307 0.693 0.396
Sr: 0.693 0.307 0.604
Sr: 0.693 0.307 0.896
Sr: 0.730 0.270 0.250
Sr: 0.869 0.131 0.619
Sr: 0.869 0.131 0.881
N: 0.219 0.781 0.250
N: 0.781 0.219 0.750

---

# 7
# Na3Sr7N2

An optimized crystal structure of Na3Sr7N2 (GGA-PBE, Alexandria via LeMat-Bulk).

Calculated values
As for the uncorrected formation energy: -0.22 eV/atom. The density is 2.78 g/cm³. The value obtained for the raw total energy is -35.046 eV per cell. The density of states at the Fermi level is 7.96 states/eV/f.u.

abc: 14.435 14.435 5.471
angles: 90.00 90.00 158.14
Fractional coordinates of all 12 atoms:
Na: 0.000 0.000 0.000
Na: 0.207 0.793 0.000
Na: 0.793 0.207 0.000
Sr: 0.096 0.904 0.500
Sr: 0.313 0.687 0.500
Sr: 0.405 0.595 0.000
Sr: 0.500 0.500 0.500
Sr: 0.595 0.405 0.000
Sr: 0.687 0.313 0.500
Sr: 0.904 0.096 0.500
N: 0.402 0.598 0.500
N: 0.598 0.402 0.500

---

# 8
# Na5Sr4N

An optimized crystal structure of Na5Sr4N (GGA-PBE, Alexandria via LeMat-Bulk).

Calculated values
As for the uncorrected formation energy: -0.11 eV/atom. The density is 2.03 g/cm³. The value obtained for the raw total energy is -22.706 eV per cell. The density of states at the Fermi level is 6.55 states/eV/f.u.

abc: 9.479 9.479 10.993
angles: 99.68 99.68 23.81
Fractional coordinates of all 10 atoms:
Na: 0.000 0.000 0.000
Na: 0.323 0.323 0.111
Na: 0.327 0.327 0.789
Na: 0.673 0.673 0.211
Na: 0.677 0.677 0.889
Sr: 0.147 0.147 0.541
Sr: 0.499 0.499 0.339
Sr: 0.501 0.501 0.661
Sr: 0.853 0.853 0.459
N: 0.000 0.000 0.500

---

# 9
# Na3SrN8

An optimized crystal structure of Na3SrN8 (GGA-PBE, Alexandria via LeMat-Bulk).

Calculated values
As for the uncorrected formation energy: -0.12 eV/atom. The density is 2.26 g/cm³. The value obtained for the raw total energy is -73.666 eV per cell. The density of states at the Fermi level is 7.65 states/eV/f.u.

abc: 6.495 6.495 6.426
angles: 117.94 117.94 93.33
Fractional coordinates of all 12 atoms:
Na: 0.000 0.000 0.000
Na: 0.315 0.815 0.587
Na: 0.815 0.315 0.587
Sr: 0.585 0.585 0.100
N: 0.011 0.011 0.601
N: 0.151 0.672 0.084
N: 0.186 0.186 0.713
N: 0.556 0.556 0.664
N: 0.609 0.980 0.093
N: 0.616 0.616 0.543
N: 0.672 0.151 0.084
N: 0.980 0.609 0.093

---

# 10
# NaSr8N5

An optimized crystal structure of NaSr8N5 (GGA-PBE, Alexandria via LeMat-Bulk).

Calculated values
As for the uncorrected formation energy: -0.47 eV/atom. The density is 3.60 g/cm³. The value obtained for the raw total energy is -63.049 eV per cell. The density of states at the Fermi level is 1.78 states/eV/f.u.

abc: 10.069 10.069 9.833
angles: 104.35 104.35 22.34
Fractional coordinates of all 14 atoms:
Na: 0.000 0.000 0.000
Sr: 0.081 0.081 0.630
Sr: 0.266 0.266 0.354
Sr: 0.323 0.323 0.025
Sr: 0.413 0.413 0.660
Sr: 0.587 0.587 0.340
Sr: 0.677 0.677 0.975
Sr: 0.734 0.734 0.646
Sr: 0.919 0.919 0.370
N: 0.158 0.158 0.456
N: 0.205 0.205 0.835
N: 0.500 0.500 0.500
N: 0.795 0.795 0.165
N: 0.842 0.842 0.544

---

# 11
# Na3Sr4N

An optimized crystal structure of Na3Sr4N (GGA-PBE, Alexandria via LeMat-Bulk).

Calculated values
As for the uncorrected formation energy: -0.15 eV/atom. The density is 2.08 g/cm³. The value obtained for the raw total energy is -80.763 eV per cell. The density of states at the Fermi level is 5.17 states/eV/f.u. The energy above the most stable polymorph in this dataset is 0 meV per atom.

abc: 10.511 11.949 11.029
angles: 90.00 90.00 90.00
Fractional coordinates of all 32 atoms:
Na: 0.017 0.005 0.207
Na: 0.017 0.495 0.207
Na: 0.143 0.750 0.351
Na: 0.357 0.250 0.851
Na: 0.483 0.505 0.707
Na: 0.483 0.995 0.707
Na: 0.517 0.005 0.293
Na: 0.517 0.495 0.293
Na: 0.643 0.750 0.149
Na: 0.857 0.250 0.649
Na: 0.983 0.505 0.793
Na: 0.983 0.995 0.793
Sr: 0.012 0.250 0.981
Sr: 0.189 0.750 0.726
Sr: 0.193 0.087 0.507
Sr: 0.193 0.413 0.507
Sr: 0.307 0.587 0.007
Sr: 0.307 0.913 0.007
Sr: 0.311 0.250 0.226
Sr: 0.488 0.750 0.481
Sr: 0.512 0.250 0.519
Sr: 0.689 0.750 0.774
Sr: 0.693 0.087 0.993
Sr: 0.693 0.413 0.993
Sr: 0.807 0.587 0.493
Sr: 0.807 0.913 0.493
Sr: 0.811 0.250 0.274
Sr: 0.988 0.750 0.019
N: 0.197 0.750 0.941
N: 0.303 0.250 0.441
N: 0.697 0.750 0.559
N: 0.803 0.250 0.059

---

# 12
# Na2Sr7N2

An optimized crystal structure of Na2Sr7N2 (GGA-PBE, Alexandria via LeMat-Bulk).

Calculated values
As for the uncorrected formation energy: -0.21 eV/atom. The density is 2.44 g/cm³. The value obtained for the raw total energy is -33.321 eV per cell. The density of states at the Fermi level is 7.81 states/eV/f.u.

abc: 7.884 7.884 7.608
angles: 93.32 93.32 97.30
Fractional coordinates of all 11 atoms:
Na: 0.159 0.841 0.000
Na: 0.841 0.159 0.000
Sr: 0.000 0.000 0.500
Sr: 0.154 0.463 0.315
Sr: 0.329 0.329 0.779
Sr: 0.463 0.154 0.315
Sr: 0.537 0.846 0.685
Sr: 0.671 0.671 0.221
Sr: 0.846 0.537 0.685
N: 0.241 0.241 0.482
N: 0.759 0.759 0.518

---

# 13
# NaSr8N2

An optimized crystal structure of NaSr8N2 (GGA-PBE, Alexandria via LeMat-Bulk).

Calculated values
As for the uncorrected formation energy: -0.22 eV/atom. The density is 2.40 g/cm³. The value obtained for the raw total energy is -33.824 eV per cell. The density of states at the Fermi level is 9.12 states/eV/f.u.

abc: 8.451 8.451 9.335
angles: 108.78 108.78 56.84
Fractional coordinates of all 11 atoms:
Na: 0.000 0.000 0.000
Sr: 0.108 0.637 0.255
Sr: 0.169 0.169 0.414
Sr: 0.363 0.892 0.745
Sr: 0.370 0.370 0.806
Sr: 0.630 0.630 0.194
Sr: 0.637 0.108 0.255
Sr: 0.831 0.831 0.586
Sr: 0.892 0.363 0.745
N: 0.200 0.200 0.680
N: 0.800 0.800 0.320

---

# 14
# NaSr3N

An optimized crystal structure of NaSr3N (GGA-PBE, Alexandria via LeMat-Bulk).

Calculated values
As for the uncorrected formation energy: -0.24 eV/atom. The density is 3.06 g/cm³. The value obtained for the raw total energy is -15.879 eV per cell. The density of states at the Fermi level is 3.80 states/eV/f.u.

abc: 5.461 5.461 5.461
angles: 90.00 90.00 90.00
Fractional coordinates of all 5 atoms:
Na: 0.000 0.000 0.000
Sr: 0.000 0.500 0.500
Sr: 0.500 0.000 0.500
Sr: 0.500 0.500 0.000
N: 0.500 0.500 0.500

---

# 15
# Na3Sr3N

An optimized crystal structure of Na3Sr3N (GGA-PBE, Alexandria via LeMat-Bulk).

Calculated values
As for the uncorrected formation energy: -0.17 eV/atom. The density is 2.01 g/cm³. The value obtained for the raw total energy is -36.996 eV per cell. The density of states at the Fermi level is 4.42 states/eV/f.u.

abc: 7.770 7.770 9.948
angles: 99.56 99.56 99.71
Fractional coordinates of all 14 atoms:
Na: 0.142 0.858 0.000
Na: 0.354 0.646 0.500
Na: 0.371 0.371 0.138
Na: 0.629 0.629 0.862
Na: 0.646 0.354 0.500
Na: 0.858 0.142 0.000
Sr: 0.085 0.406 0.757
Sr: 0.112 0.112 0.396
Sr: 0.406 0.085 0.757
Sr: 0.594 0.915 0.243
Sr: 0.888 0.888 0.604
Sr: 0.915 0.594 0.243
N: 0.139 0.139 0.647
N: 0.861 0.861 0.353

---

# 16
# NaSr8N4

An optimized crystal structure of NaSr8N4 (GGA-PBE, Alexandria via LeMat-Bulk).

Calculated values
As for the uncorrected formation energy: -0.31 eV/atom. The density is 3.40 g/cm³. The value obtained for the raw total energy is -52.106 eV per cell. The density of states at the Fermi level is 7.32 states/eV/f.u. The energy above the most stable polymorph in this dataset is 131 meV per atom.

abc: 8.137 8.137 8.137
angles: 60.00 60.00 60.00
Fractional coordinates of all 13 atoms:
Na: 0.000 0.000 0.000
Sr: 0.390 0.390 0.390
Sr: 0.390 0.390 0.829
Sr: 0.390 0.829 0.390
Sr: 0.442 0.853 0.853
Sr: 0.829 0.390 0.390
Sr: 0.853 0.442 0.853
Sr: 0.853 0.853 0.442
Sr: 0.853 0.853 0.853
N: 0.123 0.626 0.626
N: 0.626 0.123 0.626
N: 0.626 0.626 0.123
N: 0.626 0.626 0.626

---

# 17
# NaSr2N

An optimized crystal structure of NaSr2N (GGA-PBE, Alexandria via LeMat-Bulk).

Calculated values
As for the uncorrected formation energy: -0.41 eV/atom. The density is 2.74 g/cm³. The value obtained for the raw total energy is -14.634 eV per cell. The density of states at the Fermi level is 1.33 states/eV/f.u.

abc: 10.270 10.270 10.270
angles: 21.60 21.60 21.60
Fractional coordinates of all 4 atoms:
Na: 0.000 0.000 0.000
Sr: 0.212 0.212 0.212
Sr: 0.788 0.788 0.788
N: 0.500 0.500 0.500

---

# 18
# NaSr7N2

An optimized crystal structure of NaSr7N2 (GGA-PBE, Alexandria via LeMat-Bulk).

Calculated values
As for the uncorrected formation energy: -0.23 eV/atom. The density is 2.79 g/cm³. The value obtained for the raw total energy is -32.004 eV per cell. The density of states at the Fermi level is 6.74 states/eV/f.u.

abc: 10.638 10.638 4.364
angles: 90.00 90.00 126.68
Fractional coordinates of all 10 atoms:
Na: 0.000 0.000 0.000
Sr: 0.103 0.368 0.500
Sr: 0.295 0.705 0.000
Sr: 0.368 0.103 0.500
Sr: 0.500 0.500 0.500
Sr: 0.632 0.897 0.500
Sr: 0.705 0.295 0.000
Sr: 0.897 0.632 0.500
N: 0.365 0.635 0.500
N: 0.635 0.365 0.500